A plane-wave DFT calculation with SCAN was carried out for a PBEsol-optimized structure of Mg2BiRuO.

Computed properties:
**Magnetic moment**: 0.00 μB per formula unit
**D(E_F)**: 2.77 states/eV per cell
**E_tot**: -1.924 Ry per atom

Lattice parameters (Å, degrees): 5.319 5.319 3.627 90.00 90.00 90.00
Space group P4/mmm (No. 123)
Unique sites:
1 Mg 0.000 0.500 0.000 [2 per cell]
2 Bi 0.000 0.000 0.500 [1 per cell]
3 Ru 0.500 0.500 0.000 [1 per cell]
4 O 0.500 0.500 0.500 [1 per cell]